# 1
VASP calculation (GGA-PBE) on a relaxed Cd5Rh4 crystal.

Properties
DFT total energy	-68.32	eV per cell
E above lowest polymorph	26	meV per atom
SG	P6_3/mcm (193)
energy of formation	-0.020	eV/atom

Structure (POSCAR):
```
Cd5Rh4
1.0
8.079 0.000 0.000
-4.039 6.996 0.000
0.000 0.000 5.576
Cd Rh
10 8
direct
0.000 0.304 0.250
0.000 0.696 0.750
0.304 0.000 0.250
0.304 0.304 0.750
0.333 0.667 0.000
0.333 0.667 0.500
0.667 0.333 0.000
0.667 0.333 0.500
0.696 0.000 0.750
0.696 0.696 0.250
0.000 0.000 0.000
0.000 0.000 0.500
0.000 0.358 0.750
0.000 0.642 0.250
0.358 0.000 0.750
0.358 0.358 0.250
0.642 0.000 0.250
0.642 0.642 0.750
```


# 2
VASP calculation (GGA-PBE) on a relaxed Ta2FeRe crystal.

Properties
DFT total energy	-41.54	eV per cell
SG	Immm (71)
energy of formation	0.770	eV/atom

Structure (POSCAR):
```
Ta2FeRe
1.0
-1.378 2.398 4.960
1.378 -2.398 4.960
1.378 2.398 -4.960
Ta Fe Re
2 1 1
direct
0.230 0.230 0.000
0.770 0.770 0.000
0.000 0.000 0.000
0.500 0.500 0.000
```


# 3
VASP calculation (GGA-PBE) on a relaxed ReAgAu2 crystal.

Properties
DFT total energy	-19.46	eV per cell
E above lowest polymorph	266	meV per atom
SG	Pmmm (47)
energy of formation	0.598	eV/atom

Structure (POSCAR):
```
ReAgAu2
1.0
2.736 0.000 0.000
0.000 4.999 0.000
0.000 0.000 5.086
Re Ag Au
1 1 2
direct
0.000 0.000 0.000
0.500 0.000 0.500
0.000 0.500 0.500
0.500 0.500 0.000
```


# 4
VASP calculation (GGA-PBE) on a relaxed U2RuPt crystal.

Properties
DFT total energy	-38.96	eV per cell
SG	P4/mmm (123)
energy of formation	-0.266	eV/atom

Structure (POSCAR):
```
U2RuPt
1.0
3.622 0.000 0.000
0.000 3.622 0.000
0.000 0.000 5.994
U Ru Pt
2 1 1
direct
0.000 0.000 0.213
0.000 0.000 0.787
0.500 0.500 0.000
0.500 0.500 0.500
```


# 5
VASP calculation (GGA-PBE) on a relaxed Ac2Y2Ho5 crystal.

Properties
DFT total energy	-43.15	eV per cell
SG	P-1 (2)
energy of formation	0.098	eV/atom

Structure (POSCAR):
```
Ac2Y2Ho5
1.0
3.719 0.000 0.000
-1.859 7.193 0.000
-1.858 -1.255 11.804
Ac Y Ho
2 2 5
direct
0.239 0.341 0.139
0.761 0.659 0.861
0.249 0.888 0.609
0.751 0.112 0.391
0.015 0.713 0.319
0.500 0.112 0.887
0.500 0.500 0.500
0.500 0.888 0.113
0.985 0.287 0.681
```


# 6
VASP calculation (GGA-PBE) on a relaxed Ta2HgPb crystal.

Properties
DFT total energy	-25.36	eV per cell
E above lowest polymorph	265	meV per atom
SG	Pmmm (47)
energy of formation	0.588	eV/atom

Structure (POSCAR):
```
Ta2HgPb
1.0
3.013 0.000 0.000
0.000 4.494 0.000
0.000 0.000 6.016
Ta Hg Pb
2 1 1
direct
0.000 0.000 0.241
0.000 0.000 0.759
0.500 0.500 0.000
0.500 0.500 0.500
```